Entry 1:
A geometry-optimized FeCu4P structure, computed with PBE-GGA.

a = 4.7938 Å, b = 4.7938 Å, c = 4.7938 Å
α = 60.00°, β = 60.00°, γ = 60.00°
Last column: nearest neighbours and their distance in Å.
Fractional coordinates of all 6 atoms:
P 0.0000 0.0000 0.0000  12 Cu 2.81, 4 Fe 2.94
Fe 0.7500 0.7500 0.7500  12 Cu 2.81, 4 P 2.94
Cu 0.3752 0.3752 0.3752  6 Cu 2.39-2.40
Cu 0.3752 0.3752 0.8744  6 Cu 2.39-2.40
Cu 0.3752 0.8744 0.3752  6 Cu 2.39-2.40
Cu 0.8744 0.3752 0.3752  6 Cu 2.39-2.40

Output
Space-group type: F-43m
Spin magnetization in μB per atom: 0.520
Formation energy from the elements in eV per atom: 0.3517



Entry 2:
A geometry-optimized BaBe2Ru structure, computed with PBE-GGA.

a = 5.2135 Å, b = 5.2135 Å, c = 5.2135 Å
α = 135.61°, β = 109.27°, γ = 87.44°
Last column: nearest neighbours and their distance in Å.
Fractional coordinates of all 4 atoms:
Ba 0.2457 0.7457 0.5000  4 Ru 3.17-3.43, 4 Be 3.20-3.33
Be 0.7475 0.2475 0.5000  2 Ru 2.20, 2 Be 2.24
Be 0.8890 0.8890 0.0000  1 Ru 2.04, 2 Be 2.24
Ru 0.6178 0.6178 0.0000  3 Be 2.04-2.20

Output
Space-group type: Imm2
Excess energy over the best structure of this formula in the dataset in meV per atom: 539
Spin magnetization in μB per atom: 0.000
Formation energy from the elements in eV per atom: 0.5771



Entry 3:
A geometry-optimized Li2CaAcAu4 structure, computed with PBE-GGA.

a = 4.6162 Å, b = 4.6162 Å, c = 10.2844 Å
α = 77.03°, β = 77.03°, γ = 60.00°
Last column: nearest neighbours and their distance in Å.
Fractional coordinates of all 8 atoms:
Au 0.1104 0.1104 0.6688  3 Li 2.73, 3 Au 3.02
Au 0.6037 0.6037 0.1888  3 Li 2.79, 3 Au 3.02, 1 Ca 3.09
Au 0.8896 0.8896 0.3312  3 Li 2.73, 3 Au 3.02
Au 0.3963 0.3963 0.8112  3 Li 2.79, 3 Au 3.02, 1 Ca 3.09
Ca 0.5000 0.5000 0.5000  8 Au 3.09-3.15
Ac 0.0000 0.0000 0.0000  8 Au 3.26-3.29
Li 0.2422 0.2422 0.2733  6 Au 2.73-2.79
Li 0.7578 0.7578 0.7267  6 Au 2.73-2.79

Output
Space-group type: R-3m
Spin magnetization in μB per atom: 0.000
Formation energy from the elements in eV per atom: -0.6948



Entry 4:
A geometry-optimized LaTcAs structure, computed with PBE-GGA.

a = 4.1446 Å, b = 5.3631 Å, c = 8.1039 Å
α = 108.15°, β = 90.00°, γ = 112.73°
Last column: nearest neighbours and their distance in Å.
Fractional coordinates of all 6 atoms:
As 0.7986 0.5972 0.8608  1 Tc 2.40
As 0.2014 0.4028 0.1392  1 Tc 2.40
Tc 0.7104 0.4207 0.5460  1 As 2.40, 2 Tc 2.42
Tc 0.2896 0.5793 0.4540  1 As 2.40, 2 Tc 2.42
La 0.9416 0.8832 0.2438  4 As 2.94-3.05, 1 Tc 3.29
La 0.0584 0.1168 0.7562  4 As 2.94-3.05, 1 Tc 3.29

Output
Space-group type: C2/m
Excess energy over the best structure of this formula in the dataset in meV per atom: 142
Spin magnetization in μB per atom: 0.000
Formation energy from the elements in eV per atom: -0.3521



Entry 5:
A geometry-optimized Cs3Ca2Br4Cl3 structure, computed with PBE-GGA.

a = 5.7700 Å, b = 5.4601 Å, c = 15.1187 Å
α = 100.40°, β = 101.00°, γ = 90.00°
Last column: nearest neighbours and their distance in Å.
Fractional coordinates of all 12 atoms:
Cl 0.9085 0.4066 0.8132  2 Ca 2.73
Cl 0.0019 0.0000 0.0000  2 Ca 2.75
Cl 0.0953 0.5934 0.1868  2 Ca 2.73
Ca 0.0965 0.0943 0.1886  3 Cl 2.73-2.75, 3 Br 2.89-2.90
Ca 0.9079 0.9057 0.8114  3 Cl 2.73-2.75, 3 Br 2.89-2.90
Br 0.4100 0.9078 0.8156  2 Ca 2.89
Br 0.8087 0.8064 0.6129  1 Ca 2.90
Br 0.1958 0.1936 0.3871  1 Ca 2.90
Br 0.5944 0.0922 0.1844  2 Ca 2.89
Cs 0.5043 0.5000 0.0000  4 Br 3.83, 8 Cl 3.96-3.98
Cs 0.3207 0.3183 0.6367  7 Br 3.64-3.99, 2 Cl 3.86-3.87
Cs 0.6840 0.6817 0.3633  7 Br 3.64-3.99, 2 Cl 3.86-3.87

Output
Space-group type: Imm2
Spin magnetization in μB per atom: 0.000
Uncorrected formation energy in eV/atom: -2.0765



Entry 6:
A geometry-optimized Ti2Co12P7 structure, computed with PBE-GGA.

a = 8.8472 Å, b = 8.8472 Å, c = 3.4931 Å
α = 90.00°, β = 90.00°, γ = 120.00°
Last column: nearest neighbours and their distance in Å.
Fractional coordinates of all 21 atoms:
Co 0.3885 0.2154 0.0000  4 P 2.14-2.22
Co 0.2258 0.2789 0.5000  4 P 2.15-2.27
Co 0.5334 0.1023 0.5000  5 P 2.24-2.49
Co 0.5689 0.4666 0.5000  5 P 2.24-2.49
Co 0.1062 0.3981 0.0000  4 P 2.14-2.31
Co 0.2919 0.8938 0.0000  4 P 2.14-2.31
Co 0.8977 0.4311 0.5000  5 P 2.24-2.49
Co 0.7846 0.1731 0.0000  4 P 2.14-2.22
Co 0.0531 0.7742 0.5000  4 P 2.15-2.27
Co 0.7211 0.9469 0.5000  4 P 2.15-2.27
Co 0.8269 0.6115 0.0000  4 P 2.14-2.22
Co 0.6019 0.7081 0.0000  4 P 2.14-2.31
P 0.0807 0.6259 0.0000  5 Co 2.14-2.27
P 0.7884 0.7442 0.5000  7 Co 2.15-2.31
P 0.3741 0.4548 0.0000  5 Co 2.14-2.27
P 0.5452 0.9193 0.0000  5 Co 2.14-2.27
P 0.6667 0.3333 0.0000  3 Co 2.14
P 0.9558 0.2116 0.5000  7 Co 2.15-2.31
P 0.2558 0.0442 0.5000  7 Co 2.15-2.31
Ti 0.0000 0.0000 0.0000  6 P 2.73, 9 Co 2.86-2.98
Ti 0.3333 0.6667 0.5000  6 P 2.71, 6 Co 2.82

Output
Space-group type: P-6
Spin magnetization in μB per atom: 0.246
Formation energy from the elements in eV per atom: -0.7194



Entry 7:
A geometry-optimized CaNd3 structure, computed with PBE-GGA.

a = 5.2692 Å, b = 5.2692 Å, c = 6.3929 Å
α = 114.34°, β = 114.34°, γ = 90.00°
Last column: nearest neighbours and their distance in Å.
Fractional coordinates of all 4 atoms:
Ca 0.0000 0.0000 0.0000  12 Nd 3.70-3.73
Nd 0.2500 0.7500 0.5000  4 Ca 3.70, 8 Nd 3.70-3.73
Nd 0.7500 0.2500 0.5000  4 Ca 3.70, 8 Nd 3.70-3.73
Nd 0.5000 0.5000 0.0000  8 Nd 3.70, 4 Ca 3.73

Output
Space-group type: I4/mmm
Excess energy over the best structure of this formula in the dataset in meV per atom: 24
Spin magnetization in μB per atom: 0.000
Formation energy from the elements in eV per atom: 0.0702



Entry 8:
A geometry-optimized Th7Fe2Hg2 structure, computed with PBE-GGA.

a = 3.6943 Å, b = 9.7116 Å, c = 9.7116 Å
α = 62.25°, β = 79.04°, γ = 79.04°
Last column: nearest neighbours and their distance in Å.
Fractional coordinates of all 11 atoms:
Hg 0.0000 0.7541 0.2459  8 Th 3.25-3.39
Hg 0.5000 0.3671 0.6329  7 Th 3.29-3.32
Th 0.8433 0.4173 0.8960  2 Fe 2.80
Th 0.1789 0.7223 0.9199  2 Fe 2.74
Th 0.8211 0.0801 0.2777  2 Fe 2.74
Th 0.1567 0.1040 0.5827  2 Fe 2.80
Th 0.5000 0.0374 0.9626  3 Hg 3.31-3.39, 6 Th 3.69-3.70
Th 0.6435 0.4557 0.2574  2 Fe 2.78
Th 0.3565 0.7426 0.5443  2 Fe 2.78
Fe 0.2715 0.3151 0.1418  6 Th 2.74-2.80
Fe 0.7285 0.8582 0.6849  6 Th 2.74-2.80

Output
Space-group type: Imm2
Spin magnetization in μB per atom: 0.000
Formation energy from the elements in eV per atom: -0.1199



Entry 9:
A geometry-optimized Ca3Hg5F12 structure, computed with PBE-GGA.

a = 12.2270 Å, b = 12.2270 Å, c = 12.2270 Å
α = 109.47°, β = 109.47°, γ = 109.47°
Last column: nearest neighbours and their distance in Å.
Fractional coordinates of all 80 atoms:
Ca 0.2500 0.1250 0.3750  4 F 2.35
Ca 0.3750 0.7500 0.6250  4 F 2.35
Ca 0.6250 0.3750 0.7500  4 F 2.35
Ca 0.1250 0.2500 0.8750  4 F 2.35
Ca 0.1250 0.8750 0.7500  4 F 2.35
Ca 0.2500 0.6250 0.8750  4 F 2.35
Ca 0.6250 0.2500 0.3750  4 F 2.35
Ca 0.8750 0.1250 0.2500  4 F 2.35
Ca 0.8750 0.7500 0.1250  4 F 2.35
Ca 0.7500 0.3750 0.1250  4 F 2.35
Ca 0.7500 0.8750 0.6250  4 F 2.35
Ca 0.3750 0.6250 0.2500  4 F 2.35
Hg 0.6250 0.8750 0.2500  4 F 2.47
Hg 0.7500 0.6250 0.3750  4 F 2.47
Hg 0.0000 0.5000 0.0000  6 F 2.38
Hg 0.5000 0.5000 0.0000  6 F 2.38
Hg 0.7500 0.1250 0.8750  4 F 2.47
Hg 0.0000 0.0000 0.5000  6 F 2.38
Hg 0.2500 0.8750 0.1250  4 F 2.47
Hg 0.8750 0.2500 0.6250  4 F 2.47
Hg 0.1250 0.3750 0.2500  4 F 2.47
Hg 0.6250 0.7500 0.8750  4 F 2.47
Hg 0.8750 0.6250 0.7500  4 F 2.47
Hg 0.5000 0.0000 0.0000  6 F 2.38
Hg 0.5000 0.0000 0.5000  6 F 2.38
Hg 0.0000 0.0000 0.0000  6 F 2.38
Hg 0.3750 0.2500 0.1250  4 F 2.47
Hg 0.3750 0.1250 0.7500  4 F 2.47
Hg 0.0000 0.5000 0.5000  6 F 2.38
Hg 0.5000 0.5000 0.5000  6 F 2.38
Hg 0.2500 0.3750 0.6250  4 F 2.47
Hg 0.1250 0.7500 0.3750  4 F 2.47
F 0.8999 0.8406 0.7700  1 Ca 2.35, 2 Hg 2.38-2.47
F 0.3999 0.1300 0.5593  1 Ca 2.35, 2 Hg 2.38-2.47
F 0.1001 0.9407 0.3700  1 Ca 2.35, 2 Hg 2.38-2.47
F 0.8999 0.0593 0.6300  1 Ca 2.35, 2 Hg 2.38-2.47
F 0.0707 0.6300 0.7300  1 Ca 2.35, 2 Hg 2.38-2.47
F 0.4293 0.6594 0.0593  1 Ca 2.35, 2 Hg 2.38-2.47
F 0.5593 0.6300 0.3999  1 Ca 2.35, 2 Hg 2.38-2.47
F 0.7300 0.6001 0.1594  1 Ca 2.35, 2 Hg 2.38-2.47
F 0.8700 0.6001 0.9407  1 Ca 2.35, 2 Hg 2.38-2.47
F 0.6594 0.4293 0.5593  1 Ca 2.35, 2 Hg 2.38-2.47
F 0.1001 0.1594 0.2300  1 Ca 2.35, 2 Hg 2.38-2.47
F 0.5593 0.9293 0.6594  1 Ca 2.35, 2 Hg 2.38-2.47
F 0.9293 0.5593 0.1594  1 Ca 2.35, 2 Hg 2.38-2.47
F 0.6300 0.0707 0.2300  1 Ca 2.35, 2 Hg 2.38-2.47
F 0.3999 0.2700 0.3406  1 Ca 2.35, 2 Hg 2.38-2.47
F 0.6300 0.5593 0.8999  1 Ca 2.35, 2 Hg 2.38-2.47
F 0.7700 0.3406 0.8999  1 Ca 2.35, 2 Hg 2.38-2.47
F 0.9293 0.3700 0.2700  1 Ca 2.35, 2 Hg 2.38-2.47
F 0.6594 0.2300 0.6001  1 Ca 2.35, 2 Hg 2.38-2.47
F 0.9407 0.8406 0.5707  1 Ca 2.35, 2 Hg 2.38-2.47
F 0.3700 0.9293 0.7700  1 Ca 2.35, 2 Hg 2.38-2.47
F 0.9407 0.1001 0.8700  1 Ca 2.35, 2 Hg 2.38-2.47
F 0.4293 0.7700 0.8700  1 Ca 2.35, 2 Hg 2.38-2.47
F 0.8406 0.8999 0.2700  1 Ca 2.35, 2 Hg 2.38-2.47
F 0.0593 0.1594 0.4293  1 Ca 2.35, 2 Hg 2.38-2.47
F 0.6001 0.8700 0.4407  1 Ca 2.35, 2 Hg 2.38-2.47
F 0.8406 0.9407 0.0707  1 Ca 2.35, 2 Hg 2.38-2.47
F 0.2300 0.5707 0.6300  1 Ca 2.35, 2 Hg 2.38-2.47
F 0.4407 0.0707 0.3406  1 Ca 2.35, 2 Hg 2.38-2.47
F 0.2700 0.8700 0.9293  1 Ca 2.35, 2 Hg 2.38-2.47
F 0.2700 0.3999 0.8406  1 Ca 2.35, 2 Hg 2.38-2.47
F 0.6001 0.7300 0.6594  1 Ca 2.35, 2 Hg 2.38-2.47
F 0.1300 0.7300 0.5707  1 Ca 2.35, 2 Hg 2.38-2.47
F 0.3406 0.7700 0.3999  1 Ca 2.35, 2 Hg 2.38-2.47
F 0.7300 0.1300 0.0707  1 Ca 2.35, 2 Hg 2.38-2.47
F 0.5707 0.2300 0.1300  1 Ca 2.35, 2 Hg 2.38-2.47
F 0.1594 0.1001 0.7300  1 Ca 2.35, 2 Hg 2.38-2.47
F 0.0593 0.8999 0.1300  1 Ca 2.35, 2 Hg 2.38-2.47
F 0.8700 0.2700 0.4293  1 Ca 2.35, 2 Hg 2.38-2.47
F 0.5707 0.3406 0.9407  1 Ca 2.35, 2 Hg 2.38-2.47
F 0.4407 0.3700 0.6001  1 Ca 2.35, 2 Hg 2.38-2.47
F 0.3700 0.4407 0.1001  1 Ca 2.35, 2 Hg 2.38-2.47
F 0.2300 0.6594 0.1001  1 Ca 2.35, 2 Hg 2.38-2.47
F 0.0707 0.4407 0.8406  1 Ca 2.35, 2 Hg 2.38-2.47
F 0.3406 0.5707 0.4407  1 Ca 2.35, 2 Hg 2.38-2.47
F 0.1300 0.3999 0.0593  1 Ca 2.35, 2 Hg 2.38-2.47
F 0.7700 0.4293 0.3700  1 Ca 2.35, 2 Hg 2.38-2.47
F 0.1594 0.0593 0.9293  1 Ca 2.35, 2 Hg 2.38-2.47

Output
Space-group type: Ia-3d
Spin magnetization in μB per atom: 0.000
Uncorrected formation energy in eV/atom: -2.1693



Please write out number 4 again, unchanged.
A geometry-optimized LaTcAs structure, computed with PBE-GGA.

a = 4.1446 Å, b = 5.3631 Å, c = 8.1039 Å
α = 108.15°, β = 90.00°, γ = 112.73°
Last column: nearest neighbours and their distance in Å.
Fractional coordinates of all 6 atoms:
As 0.7986 0.5972 0.8608  1 Tc 2.40
As 0.2014 0.4028 0.1392  1 Tc 2.40
Tc 0.7104 0.4207 0.5460  1 As 2.40, 2 Tc 2.42
Tc 0.2896 0.5793 0.4540  1 As 2.40, 2 Tc 2.42
La 0.9416 0.8832 0.2438  4 As 2.94-3.05, 1 Tc 3.29
La 0.0584 0.1168 0.7562  4 As 2.94-3.05, 1 Tc 3.29

Output
Space-group type: C2/m
Excess energy over the best structure of this formula in the dataset in meV per atom: 142
Spin magnetization in μB per atom: 0.000
Formation energy from the elements in eV per atom: -0.3521